Material: KTeOs2
Method: DFT, PBE
State: optimized geometry

Cell lengths 4.2943, 4.2943, 7.1806 Å; angles 72.62, 72.62, 60.00 degrees
Closest atoms and distances in Å follow each position.
Element x y z (fractional)
Te: 0.5402 0.5402 0.3793  6 Os 2.85-2.87
K: 0.7387 0.7387 0.7836  6 Os 3.58-3.60, 3 Te 3.68
Os: 0.9431 0.9431 0.1709  3 Os 2.48
Os: 0.2780 0.2780 0.1661  3 Os 2.48

Values from the calculation:
Density of states at the Fermi level ... 2.30 states/eV/f.u.
Formation energy from raw total energies ... 456 meV/atom

***

Material: KTeOs2
Method: DFT, PBE
State: optimized geometry

Cell lengths 6.3056, 6.3056, 6.3056 Å; angles 153.23, 125.75, 61.51 degrees
Closest atoms and distances in Å follow each position.
Element x y z (fractional)
K: 0.2546 0.7546 0.5000  2 K 2.92, 4 Os 3.22
Os: 0.7575 0.2575 0.5000  2 Os 2.48, 2 Te 2.72
Os: 0.9425 0.9425 0.0000  2 Os 2.48
Te: 0.5454 0.5454 0.0000  2 Os 2.72, 2 Te 2.92

Values from the calculation:
Density of states at the Fermi level ... 4.38 states/eV/f.u.
Formation energy from raw total energies ... 1033 meV/atom

***

Material: KTeOs
Method: DFT, PBE
State: optimized geometry

Cell lengths 5.1779, 5.1779, 5.1779 Å; angles 60.00, 60.00, 60.00 degrees
Closest atoms and distances in Å follow each position.
Element x y z (fractional)
K: 0.7500 0.7500 0.7500  4 Os 3.17, 4 Te 3.17
Te: 0.5000 0.5000 0.5000  4 K 3.17
Os: 0.0000 0.0000 0.0000  4 K 3.17

Values from the calculation:
Density of states at the Fermi level ... 9.53 states/eV/f.u.
Formation energy from raw total energies ... 1988 meV/atom
Offset from the most stable computed form ... 1550.1 meV per atom

***

Material: KTeOs2
Method: DFT, PBE
State: optimized geometry

Cell lengths 5.3027, 2.9386, 5.3179 Å; angles 90.00, 90.00, 90.00 degrees
Closest atoms and distances in Å follow each position.
Element x y z (fractional)
Te: 0.5000 0.2500 0.2500  4 Os 2.91, 2 Te 2.94, 4 K 3.04
K: 0.5000 0.7500 0.7500  2 K 2.94, 4 Te 3.04
Os: 0.0000 0.2501 0.4755  1 Os 2.40
Os: 0.0000 0.2499 0.0245  1 Os 2.40

Values from the calculation:
Density of states at the Fermi level ... 3.13 states/eV/f.u.
Formation energy from raw total energies ... 1198 meV/atom

***

Material: K2Te2Os
Method: DFT, PBE
State: optimized geometry

Cell lengths 10.5966, 10.5966, 2.9968 Å; angles 90.00, 90.00, 90.00 degrees
Closest atoms and distances in Å follow each position.
Element x y z (fractional)
Te: 0.6584 0.8416 0.5000  2 Te 3.00
Te: 0.1584 0.6584 0.5000  2 Te 3.00
Te: 0.3416 0.1584 0.5000  2 Te 3.00
Te: 0.8416 0.3416 0.5000  2 Te 3.00
K: 0.1396 0.3604 0.0000  2 K 3.00
K: 0.6396 0.1396 0.0000  2 K 3.00
K: 0.3604 0.8604 0.0000  2 K 3.00
K: 0.8604 0.6396 0.0000  2 K 3.00
Os: 0.5000 0.5000 0.0000  2 Os 3.00
Os: 0.0000 0.0000 0.0000  2 Os 3.00

Values from the calculation:
Density of states at the Fermi level ... 3.19 states/eV/f.u.
Formation energy from raw total energies ... 718 meV/atom
Offset from the most stable computed form ... 0.0 meV per atom

***

Material: KTeOs2
Method: DFT, PBE
State: optimized geometry

Cell lengths 4.7643, 4.7643, 4.7643 Å; angles 119.92, 119.92, 90.13 degrees
Closest atoms and distances in Å follow each position.
Element x y z (fractional)
Te: 0.5000 0.5000 0.0000  4 K 2.92, 4 Os 2.92
K: 0.7500 0.2500 0.5000  4 Os 2.92, 4 Te 2.92
Os: 0.2500 0.7500 0.5000  4 Te 2.92, 4 Os 2.92
Os: 0.0000 0.0000 0.0000  4 K 2.92, 4 Os 2.92

Values from the calculation:
Density of states at the Fermi level ... 5.79 states/eV/f.u.
Formation energy from raw total energies ... 1438 meV/atom

***

Material: KTeOs2
Method: DFT, PBE
State: optimized geometry

Cell lengths 4.7169, 4.0593, 4.0593 Å; angles 90.00, 90.00, 90.00 degrees
Closest atoms and distances in Å follow each position.
Element x y z (fractional)
Os: 0.0000 0.0000 0.0000  4 Os 2.87, 4 K 3.11, 4 Te 3.11
Os: 0.0000 0.5000 0.5000  4 Os 2.87, 4 K 3.11, 4 Te 3.11
K: 0.5000 0.0000 0.5000  4 Te 2.87, 8 Os 3.11
Te: 0.5000 0.5000 0.0000  4 K 2.87, 8 Os 3.11

Values from the calculation:
Density of states at the Fermi level ... 4.83 states/eV/f.u.
Formation energy from raw total energies ... 1508 meV/atom

***

Material: K2Te2Os
Method: DFT, PBE
State: optimized geometry

Cell lengths 4.3735, 4.3735, 10.3981 Å; angles 77.86, 77.86, 90.00 degrees
Closest atoms and distances in Å follow each position.
Element x y z (fractional)
K: 0.6016 0.6016 0.7969  4 Te 3.67, 4 Os 3.69, 1 K 4.03
K: 0.3984 0.3984 0.2031  4 Te 3.67, 4 Os 3.69, 1 K 4.03
Te: 0.2500 0.7500 0.5000  4 Te 3.09
Te: 0.7500 0.2500 0.5000  4 Te 3.09
Os: 0.0000 0.0000 0.0000  8 K 3.69

Values from the calculation:
Density of states at the Fermi level ... 7.16 states/eV/f.u.
Formation energy from raw total energies ... 828 meV/atom
Offset from the most stable computed form ... 109.8 meV per atom

***

Material: K4TeOs
Method: DFT, PBE
State: optimized geometry

Cell lengths 6.7073, 6.7073, 6.7073 Å; angles 60.00, 60.00, 60.00 degrees
Closest atoms and distances in Å follow each position.
Element x y z (fractional)
K: 0.3735 0.8795 0.3735  6 K 3.31-3.39
K: 0.8795 0.3735 0.3735  6 K 3.31-3.39
K: 0.3735 0.3735 0.8795  6 K 3.31-3.39
K: 0.3735 0.3735 0.3735  6 K 3.31-3.39
Os: 0.7500 0.7500 0.7500  12 K 3.94, 4 Te 4.11
Te: 0.0000 0.0000 0.0000  12 K 3.93, 4 Os 4.11

Values from the calculation:
Density of states at the Fermi level ... 0.84 states/eV/f.u.
Formation energy from raw total energies ... 894 meV/atom

***

Material: KTeOs2
Method: DFT, PBE
State: optimized geometry

Cell lengths 5.1615, 6.2390, 2.7764 Å; angles 76.68, 91.09, 114.70 degrees
Closest atoms and distances in Å follow each position.
Element x y z (fractional)
Os: 0.5000 0.0000 0.5000  6 Os 2.78-2.95, 2 Te 3.11, 2 K 3.11
Os: 0.0000 0.0000 0.0000  6 Os 2.78-2.95, 2 K 3.11, 2 Te 3.11
K: 0.5000 0.5000 0.0000  2 K 2.78, 4 Te 2.91-2.95, 4 Os 3.11
Te: 0.0000 0.5000 0.5000  2 Te 2.78, 4 K 2.91-2.95, 4 Os 3.11

Values from the calculation:
Density of states at the Fermi level ... 4.74 states/eV/f.u.
Formation energy from raw total energies ... 1324 meV/atom

***

Material: KTeOs2
Method: DFT, PBE
State: optimized geometry

Cell lengths 3.6865, 2.9032, 8.7293 Å; angles 80.49, 90.00, 90.00 degrees
Closest atoms and distances in Å follow each position.
Element x y z (fractional)
K: 0.5000 0.6778 0.7738  2 K 2.90
Te: 0.0000 0.3391 0.4477  2 Os 2.81, 2 Te 2.90
Os: 0.5000 0.4610 0.2007  4 Os 2.57, 2 Te 2.81
Os: 0.0000 0.0221 0.0778  4 Os 2.57

Values from the calculation:
Density of states at the Fermi level ... 3.50 states/eV/f.u.
Formation energy from raw total energies ... 503 meV/atom

***

Material: KTeOs
Method: DFT, PBE
State: optimized geometry

Cell lengths 4.3947, 4.3947, 5.5089 Å; angles 90.00, 90.00, 120.00 degrees
Closest atoms and distances in Å follow each position.
Element x y z (fractional)
K: 0.0000 0.0000 0.0001  6 Os 3.74-3.75, 6 Te 3.74-3.75
Os: 0.6667 0.3333 0.4998  3 Te 2.54
Te: 0.3333 0.6667 0.5001  3 Os 2.54

Values from the calculation:
Density of states at the Fermi level ... 2.80 states/eV/f.u.
Formation energy from raw total energies ... 458 meV/atom
Offset from the most stable computed form ... 20.1 meV per atom

***

> Number 1 is which compound?

KTeOs2

***

> Among the records above, which one has the lowest formation energy from raw total energies?

number 1

***

Copy entry 8 word for word.
Material: K2Te2Os
Method: DFT, PBE
State: optimized geometry

Cell lengths 4.3735, 4.3735, 10.3981 Å; angles 77.86, 77.86, 90.00 degrees
Closest atoms and distances in Å follow each position.
Element x y z (fractional)
K: 0.6016 0.6016 0.7969  4 Te 3.67, 4 Os 3.69, 1 K 4.03
K: 0.3984 0.3984 0.2031  4 Te 3.67, 4 Os 3.69, 1 K 4.03
Te: 0.2500 0.7500 0.5000  4 Te 3.09
Te: 0.7500 0.2500 0.5000  4 Te 3.09
Os: 0.0000 0.0000 0.0000  8 K 3.69

Values from the calculation:
Density of states at the Fermi level ... 7.16 states/eV/f.u.
Formation energy from raw total energies ... 828 meV/atom
Offset from the most stable computed form ... 109.8 meV per atom

***

Copy entry 9 word for word.
Material: K4TeOs
Method: DFT, PBE
State: optimized geometry

Cell lengths 6.7073, 6.7073, 6.7073 Å; angles 60.00, 60.00, 60.00 degrees
Closest atoms and distances in Å follow each position.
Element x y z (fractional)
K: 0.3735 0.8795 0.3735  6 K 3.31-3.39
K: 0.8795 0.3735 0.3735  6 K 3.31-3.39
K: 0.3735 0.3735 0.8795  6 K 3.31-3.39
K: 0.3735 0.3735 0.3735  6 K 3.31-3.39
Os: 0.7500 0.7500 0.7500  12 K 3.94, 4 Te 4.11
Te: 0.0000 0.0000 0.0000  12 K 3.93, 4 Os 4.11

Values from the calculation:
Density of states at the Fermi level ... 0.84 states/eV/f.u.
Formation energy from raw total energies ... 894 meV/atom